The following is a PBE+U calculation of a relaxed Li4CoPtO6 crystal, from OQMD via LeMat-Bulk.

Summary:
M_tot: 1.0 μB per formula unit
Energy above the lowest structure with this stoichiometry: 0 meV per atom
Density: 6.09 g/cm³

a b c (Å): 5.0171 5.0171 5.0106
angles (deg): 99.74 99.74 119.88
Positions (direct):
Li1 0.0000 0.0000 0.0000
Li2 0.1610 0.8390 0.5000
Li3 0.4973 0.5027 0.5000
Li4 0.8406 0.1594 0.5000
Co1 0.3329 0.6671 0.0000
Pt1 0.6668 0.3332 0.0000
O1 0.0902 0.4345 0.2301
O2 0.2644 0.2765 0.7654
O3 0.4223 0.0660 0.2331
O4 0.5655 0.9098 0.7699
O5 0.7235 0.7356 0.2346
O6 0.9340 0.5777 0.7669